Here is a relaxed SrCaP2 crystal from the Alexandria database. Energies are from PBE.

ΔE_f = -58.8 kJ per mole of atoms
DOS at the Fermi energy = 0.493 states/eV per atom

Lattice parameters (Å, degrees): 6.231 6.231 6.231 140.45 140.45 57.17
Positions (direct):
Sr: 0.500 0.500 0.000
Ca: 0.750 0.250 0.500
P: 0.000 0.000 0.000
P: 0.250 0.750 0.500

=====

Here is a relaxed NaPu3S6 crystal from the Alexandria database. Energies are from PBE.

Formation energy without anion corrections = -1.404 eV per atom
DOS at the Fermi energy = 2.376 states/eV per atom

Lattice parameters (Å, degrees): 6.799 8.386 8.386 102.23 90.00 90.00
Site moments in Bohr magnetons follow the coordinates.
Positions (direct):
Pu: 0.975 0.711 0.922  -4.72
Pu: 0.475 0.289 0.078  -4.72
Pu: 0.975 0.078 0.289  -4.72
Pu: 0.387 0.397 0.603  4.64
Pu: 0.887 0.603 0.397  4.64
Pu: 0.475 0.922 0.711  -4.72
S: 0.721 0.908 0.454  0.06
S: 0.113 0.771 0.229  0.07
S: 0.176 0.693 0.633  0.02
S: 0.676 0.307 0.367  0.02
S: 0.613 0.229 0.771  0.07
S: 0.221 0.454 0.908  0.06
S: 0.250 0.010 0.990  0.14
S: 0.750 0.990 0.010  0.14
S: 0.721 0.546 0.092  0.06
S: 0.676 0.633 0.693  0.02
S: 0.221 0.092 0.546  0.06
S: 0.176 0.367 0.307  0.02
Na: 0.491 0.825 0.175  0.00
Na: 0.991 0.175 0.825  0.00

=====

Here is a relaxed BaLaGaS4 crystal from the Alexandria database. Energies are from PBE.

Formation energy without anion corrections = -1.674 eV per atom
DOS at the Fermi energy = 0.000 states/eV per atom

Lattice parameters (Å, degrees): 6.727 6.749 8.596 90.00 107.64 90.00
Positions (direct):
La: 0.228 0.250 0.555
La: 0.772 0.750 0.445
Ga: 0.228 0.750 0.317
Ga: 0.772 0.250 0.683
S: 0.428 0.750 0.582
S: 0.423 0.750 0.142
S: 0.003 0.993 0.730
S: 0.997 0.493 0.270
S: 0.997 0.007 0.270
S: 0.003 0.507 0.730
S: 0.572 0.250 0.418
S: 0.577 0.250 0.858
Ba: 0.737 0.750 0.934
Ba: 0.263 0.250 0.066

=====

Here is a relaxed KTa2Ir crystal from the Alexandria database. Energies are from PBE.

ΔE_f = 129.8 kJ per mole of atoms
DOS at the Fermi energy = 1.067 states/eV per atom

Lattice parameters (Å, degrees): 4.790 4.790 9.673 75.66 75.66 90.00
Positions (direct):
Ir: 0.000 0.000 0.000
Ir: 0.750 0.250 0.500
Ta: 0.875 0.011 0.750
Ta: 0.375 0.239 0.750
Ta: 0.989 0.625 0.250
Ta: 0.761 0.125 0.250
K: 0.250 0.750 0.500
K: 0.500 0.500 0.000

=====

M_tot: 0.00 4.46 0.00 0.00 (μB per formula unit)